(1)
This record from OQMD via LeMat-Bulk describes an optimized crystal structure of SrBeCu. The functional is PBE-GGA.

Summary:
- space group = F-43m (216)
- polymorph energy (0 for the lowest one) (meV per atom) = 408

a b c (Å): 6.9180 6.9180 6.9180
angles (deg): 90.00 90.00 90.00
Atoms (fractional coordinates):
1 Sr 0.0000 0.0000 0.0000
2 Sr 0.0000 0.5000 0.5000
3 Sr 0.5000 0.0000 0.5000
4 Sr 0.5000 0.5000 0.0000
5 Be 0.2500 0.2500 0.7500
6 Be 0.2500 0.7500 0.2500
7 Be 0.7500 0.2500 0.2500
8 Be 0.7500 0.7500 0.7500
9 Cu 0.2500 0.2500 0.2500
10 Cu 0.2500 0.7500 0.7500
11 Cu 0.7500 0.2500 0.7500
12 Cu 0.7500 0.7500 0.2500

***

(2)
This record from OQMD via LeMat-Bulk describes an optimized crystal structure of SrBeCu. The functional is PBE-GGA.

Summary:
- space group = F-43m (216)
- polymorph energy (0 for the lowest one) (meV per atom) = 0

a b c (Å): 6.5211 6.5211 6.5211
angles (deg): 90.00 90.00 90.00
Atoms (fractional coordinates):
1 Sr 0.0000 0.0000 0.0000
2 Sr 0.0000 0.5000 0.5000
3 Sr 0.5000 0.0000 0.5000
4 Sr 0.5000 0.5000 0.0000
5 Be 0.2500 0.2500 0.7500
6 Be 0.2500 0.7500 0.2500
7 Be 0.7500 0.2500 0.2500
8 Be 0.7500 0.7500 0.7500
9 Cu 0.0000 0.0000 0.5000
10 Cu 0.0000 0.5000 0.0000
11 Cu 0.5000 0.0000 0.0000
12 Cu 0.5000 0.5000 0.5000

***

(3)
This record from OQMD via LeMat-Bulk describes an optimized crystal structure of Ta6Be15Cu8. The functional is PBE-GGA.

Summary:
- space group = Fm-3m (225)
- uncorrected energy (eV per cell) = -162.878
- M_tot (Bohr magnetons per cell) = 0.00

a b c (Å): 7.6320 7.6320 7.6320
angles (deg): 60.00 60.00 60.00
Atoms (fractional coordinates):
1 Ta 0.1918 0.1918 0.8082
2 Ta 0.1918 0.8082 0.1918
3 Ta 0.1918 0.8082 0.8082
4 Ta 0.8082 0.1918 0.1918
5 Ta 0.8082 0.1918 0.8082
6 Ta 0.8082 0.8082 0.1918
7 Be 0.0000 0.0000 0.5000
8 Be 0.0000 0.5000 0.0000
9 Be 0.0000 0.5000 0.5000
10 Be 0.1731 0.1731 0.1731
11 Be 0.1731 0.1731 0.4808
12 Be 0.1731 0.4808 0.1731
13 Be 0.4808 0.1731 0.1731
14 Be 0.5000 0.0000 0.0000
15 Be 0.5000 0.0000 0.5000
16 Be 0.5000 0.5000 0.0000
17 Be 0.5000 0.5000 0.5000
18 Be 0.5192 0.8269 0.8269
19 Be 0.8269 0.5192 0.8269
20 Be 0.8269 0.8269 0.5192
21 Be 0.8269 0.8269 0.8269
22 Cu 0.1312 0.6229 0.6229
23 Cu 0.3771 0.3771 0.3771
24 Cu 0.3771 0.3771 0.8688
25 Cu 0.3771 0.8688 0.3771
26 Cu 0.6229 0.1312 0.6229
27 Cu 0.6229 0.6229 0.1312
28 Cu 0.6229 0.6229 0.6229
29 Cu 0.8688 0.3771 0.3771